# 1
# Cu4Ir3 (PBE, relaxed)
# * E above lowest polymorph: 300 meV per atom
# * density of states at the Fermi level: 8.49 states/eV per cell
# * calculated formation energy: 0.397 eV per atom
data_Cu4Ir3
_cell_length_a 5.0971
_cell_length_b 5.0971
_cell_length_c 4.5492
_cell_angle_alpha 90.00
_cell_angle_beta 90.00
_cell_angle_gamma 120.00
_symmetry_space_group_name_H-M 'P 6/m m m'
_symmetry_Int_Tables_number 191
_symmetry_space_group_name_Hall '-P 6 2'
loop_
_atom_site_label
_atom_site_fract_x
_atom_site_fract_y
_atom_site_fract_z
Cu1 0.0000 0.0000 0.2464
Cu2 0.3333 0.6667 0.5000
Ir1 0.0000 0.5000 0.0000

---

# 2
# CaLa2Au (PBE, relaxed)
# * E above lowest polymorph: 234 meV per atom
# * density of states at the Fermi level: 28.55 states/eV per cell
# * calculated formation energy: -0.145 eV per atom
data_CaLa2Au
_cell_length_a 7.8821
_cell_length_b 7.8821
_cell_length_c 7.8821
_cell_angle_alpha 90.00
_cell_angle_beta 90.00
_cell_angle_gamma 90.00
_symmetry_space_group_name_H-M 'F m -3 m'
_symmetry_Int_Tables_number 225
_symmetry_space_group_name_Hall '-F 4 2 3'
loop_
_atom_site_label
_atom_site_fract_x
_atom_site_fract_y
_atom_site_fract_z
Ca1 0.0000 0.0000 0.0000
La1 0.2500 0.2500 0.2500
Au1 0.0000 0.0000 0.5000

---

# 3
# La5As3 (PBE, relaxed)
# * E above lowest polymorph: 0 meV per atom
# * density of states at the Fermi level: 19.45 states/eV per cell
# * calculated formation energy: -1.125 eV per atom
data_La5As3
_cell_length_a 9.0841
_cell_length_b 9.0841
_cell_length_c 6.4476
_cell_angle_alpha 90.00
_cell_angle_beta 90.00
_cell_angle_gamma 120.00
_symmetry_space_group_name_H-M 'P 63/m c m'
_symmetry_Int_Tables_number 193
_symmetry_space_group_name_Hall '-P 6c 2'
loop_
_atom_site_label
_atom_site_fract_x
_atom_site_fract_y
_atom_site_fract_z
La1 0.0000 0.2592 0.2500
La2 0.3333 0.6667 0.0000
As1 0.0000 0.3792 0.7500

---

# 4
# NaReSi2Ge (PBE, relaxed)
# * density of states at the Fermi level: 4.36 states/eV per cell
# * total energy: -5.5389 eV per atom
data_NaReSi2Ge
_cell_length_a 4.7411
_cell_length_b 4.7411
_cell_length_c 4.9291
_cell_angle_alpha 90.00
_cell_angle_beta 90.00
_cell_angle_gamma 90.00
_symmetry_space_group_name_H-M 'P 4/m m m'
_symmetry_Int_Tables_number 123
_symmetry_space_group_name_Hall '-P 4 2'
loop_
_atom_site_label
_atom_site_fract_x
_atom_site_fract_y
_atom_site_fract_z
Na1 0.0000 0.0000 0.0000
Re1 0.5000 0.5000 0.5000
Si1 0.0000 0.5000 0.5000
Ge1 0.5000 0.5000 0.0000

---

Question: What is the formula in the second record?
Answer: CaLa2Au

---

What did the first record say?
# Cu4Ir3 (PBE, relaxed)
# * E above lowest polymorph: 300 meV per atom
# * density of states at the Fermi level: 8.49 states/eV per cell
# * calculated formation energy: 0.397 eV per atom
data_Cu4Ir3
_cell_length_a 5.0971
_cell_length_b 5.0971
_cell_length_c 4.5492
_cell_angle_alpha 90.00
_cell_angle_beta 90.00
_cell_angle_gamma 120.00
_symmetry_space_group_name_H-M 'P 6/m m m'
_symmetry_Int_Tables_number 191
_symmetry_space_group_name_Hall '-P 6 2'
loop_
_atom_site_label
_atom_site_fract_x
_atom_site_fract_y
_atom_site_fract_z
Cu1 0.0000 0.0000 0.2464
Cu2 0.3333 0.6667 0.5000
Ir1 0.0000 0.5000 0.0000